First-principles (PBE-GGA) data for a geometry-optimized NbSnPb2S structure, as listed in the Alexandria database.

N(E_F)   4.2 states/eV/f.u.
VASP energy   -4.52 eV/atom
Space-group type   P4/mmm, No. 123
Formation energy without anion corrections   0.6074 eV per atom
Volume   163.6 Å³/f.u.

Unit cell a=5.514 b=5.382 c=5.514 alpha=90.00 beta=90.00 gamma=90.00
Sites, in units of the cell vectors:
1 Pb 0.000 0.000 0.500
2 Pb 0.500 0.000 0.000
3 Nb 0.000 0.000 0.000
4 S 0.500 0.500 0.500
5 Sn 0.000 0.500 0.000